Entry 1:
## SrHfTlNi2 (PBE-GGA)

Data for SrHfTlNi2 after structural relaxation.

Values from the calculation:
* DFT total energy: -3.8431 eV per atom

Lattice parameters (Å, degrees): 4.862 5.599 4.862 90.00 90.00 90.00
Each line ends with the local moment (μB).
Sites, in units of the cell vectors:
Sr (0.000, 0.500, 0.000)  0.07
Ni (0.000, 0.000, 0.500)  0.01
Ni (0.500, 0.000, 0.000)  0.04
Hf (0.500, 0.500, 0.500)  0.54
Tl (0.000, 0.000, 0.000)  0.01

=====

Entry 2:
## Rb2GaRe (PBE-GGA)

Data for Rb2GaRe after structural relaxation.

Values from the calculation:
* DFT total energy: -2.8369 eV per atom

Lattice parameters (Å, degrees): 4.072 4.072 12.649 80.74 80.74 90.00
Sites, in units of the cell vectors:
Ga (0.250, 0.750, 0.500)
Ga (0.500, 0.500, 0.000)
Re (0.000, 0.000, 0.000)
Re (0.750, 0.250, 0.500)
Rb (0.375, 0.375, 0.750)
Rb (0.125, 0.625, 0.250)
Rb (0.875, 0.875, 0.750)
Rb (0.625, 0.125, 0.250)

=====

Entry 3:
## KZrNi (PBE-GGA)

Data for KZrNi after structural relaxation.

Values from the calculation:
* energy above the most stable polymorph in this dataset: 0.000 eV per atom

Lattice parameters (Å, degrees): 7.578 7.577 3.327 77.32 77.31 25.36
Sites, in units of the cell vectors:
K (0.977, 0.977, 0.023)
Ni (0.300, 0.300, 0.700)
Zr (0.723, 0.723, 0.277)

=====

Table of N(E_F) (states/eV/atom), in record order: 1.50 0.44 1.11